A relaxed structure of HfCrS2, computed with PBE.

extended XYZ file:
```
4
Lattice="0.0000 3.1133 3.1133 3.1133 0.0000 3.1133 3.1133 3.1133 0.0000" Properties=species:S:1:pos:R:3 pbc="T T T"
Cr 0.0000 0.0000 0.0000
S 1.5567 1.5567 1.5567
Hf 3.1133 3.1133 3.1133
S 4.6700 4.6700 4.6700
```

Properties
Formation energy (no corrections): -0.643 eV per atom
Raw total energy: -7.60 eV per atom
Polymorph energy (0 for the lowest one): 100 meV per atom
Crystal system: cubic


A relaxed structure of HfCrS2, computed with PBE.

extended XYZ file:
```
8
Lattice="-1.1565 3.6414 -4.0462 -0.7251 -4.2027 -3.5750 -6.3422 -0.4966 -2.4612" Properties=species:S:1:pos:R:3 pbc="T T T"
S -5.4713 -0.6357 -4.7488
Hf -4.2197 1.4321 -5.1591
Cr -0.9408 -0.2807 -3.8106
S -6.3939 -0.8109 -8.4697
Cr -4.0040 -2.4900 -4.9234
Hf 0.0000 0.0000 0.0000
S -2.3844 1.5807 -3.5403
S -2.1978 -2.2500 -3.4063
```

Properties
Formation energy (no corrections): -0.665 eV per atom
Raw total energy: -7.62 eV per atom
Polymorph energy (0 for the lowest one): 77 meV per atom
Crystal system: tetragonal


A relaxed structure of HfCrS2, computed with PBE.

extended XYZ file:
```
4
Lattice="0.3795 7.4596 3.0629 2.7516 7.5749 0.4694 -0.6596 8.0421 -0.2458" Properties=species:S:1:pos:R:3 pbc="T T T"
S 2.2220 20.7475 2.9548
S 0.2494 2.3291 0.3317
Cr 0.0000 0.0000 0.0000
Hf 1.2357 11.5383 1.6432
```

Properties
Formation energy (no corrections): -0.742 eV per atom
Raw total energy: -7.70 eV per atom
Polymorph energy (0 for the lowest one): 0 meV per atom
Crystal system: trigonal